No. 1
The following is a PBE calculation of a geometry-optimized Y3Pu2ZrN6 structure, from Alexandria via LeMat-Bulk.

Structure (CIF):
```
data_Y3Pu2ZrN6
_chemical_formula_sum 'Y3 Pu2 Zr1 N6'
_symmetry_space_group_name_H-M 'P 1'
_symmetry_Int_Tables_number 1
_cell_length_a 5.9594
_cell_length_b 5.9594
_cell_length_c 5.9301
_cell_angle_alpha 99.60
_cell_angle_beta 99.60
_cell_angle_gamma 120.03
loop_
_symmetry_equiv_pos_as_xyz
'x,y,z'
loop_
_atom_site_label
_atom_site_type_symbol
_atom_site_fract_x
_atom_site_fract_y
_atom_site_fract_z
_atom_site_occupancy
Y1 Y 0.1656 0.8344 0.5000 1
Y2 Y 0.8344 0.1656 0.5000 1
Y3 Y 0.5000 0.5000 0.5000 1
Pu1 Pu 0.3335 0.6665 0.0000 1
Pu2 Pu 0.6665 0.3335 0.0000 1
Zr1 Zr 0.0000 0.0000 0.0000 1
N1 N 0.9214 0.5950 0.7643 1
N2 N 0.7533 0.7533 0.2381 1
N3 N 0.0786 0.4050 0.2357 1
N4 N 0.5950 0.9214 0.7643 1
N5 N 0.2467 0.2467 0.7619 1
N6 N 0.4050 0.0786 0.2357 1
```

Values from the calculation:
As for the uncorrected formation energy: -1.555 eV per atom. The value obtained for the total magnetic moment is 9.41 μB/f.u. For the electronic total energy, the calculation gives -10.435 eV per atom. Its space group is C2/m. The density comes out at 9.0 g cm⁻³.

=====

No. 2
The following is a PBE calculation of a geometry-optimized CsClF2 structure, from Alexandria via LeMat-Bulk.

Structure (CIF):
```
data_CsClF2
_chemical_formula_sum 'Cs2 Cl2 F4'
_symmetry_space_group_name_H-M 'P 1'
_symmetry_Int_Tables_number 1
_cell_length_a 5.0987
_cell_length_b 5.3176
_cell_length_c 7.7239
_cell_angle_alpha 90.00
_cell_angle_beta 96.11
_cell_angle_gamma 90.00
loop_
_symmetry_equiv_pos_as_xyz
'x,y,z'
loop_
_atom_site_label
_atom_site_type_symbol
_atom_site_fract_x
_atom_site_fract_y
_atom_site_fract_z
_atom_site_occupancy
Cs1 Cs 0.5000 0.0000 0.5000 1
Cs2 Cs 0.5000 0.5000 0.0000 1
F1 F 0.7478 0.0000 0.1618 1
F2 F 0.2522 0.0000 0.8382 1
F3 F 0.7478 0.5000 0.6618 1
F4 F 0.2522 0.5000 0.3382 1
Cl1 Cl 0.0000 0.0000 0.0000 1
Cl2 Cl 0.0000 0.5000 0.5000 1
```

Values from the calculation:
As for the uncorrected formation energy: -1.704 eV per atom. The value obtained for the total magnetic moment is 0.00 μB/f.u. The offset from the most stable computed form comes out at 0.018 eV per atom. For the electronic total energy, the calculation gives -3.315 eV per atom. Its space group is C2/m. The density comes out at 3.3 g cm⁻³.

=====

No. 3
The following is a PBE calculation of a geometry-optimized CrRu3Pb structure, from Alexandria via LeMat-Bulk.

Structure (CIF):
```
data_CrRu3Pb
_chemical_formula_sum 'Cr1 Ru3 Pb1'
_symmetry_space_group_name_H-M 'P 1'
_symmetry_Int_Tables_number 1
_cell_length_a 4.4973
_cell_length_b 4.4973
_cell_length_c 4.4973
_cell_angle_alpha 90.00
_cell_angle_beta 90.00
_cell_angle_gamma 90.00
loop_
_symmetry_equiv_pos_as_xyz
'x,y,z'
loop_
_atom_site_label
_atom_site_type_symbol
_atom_site_fract_x
_atom_site_fract_y
_atom_site_fract_z
_atom_site_occupancy
Pb1 Pb 0.5000 0.5000 0.5000 1
Ru1 Ru 0.0000 0.5000 0.0000 1
Ru2 Ru 0.0000 0.0000 0.5000 1
Ru3 Ru 0.5000 0.0000 0.0000 1
Cr1 Cr 0.0000 0.0000 0.0000 1
```

Values from the calculation:
The value obtained for the calculated formation energy is 1.04 eV/atom. The value obtained for the total magnetic moment is 0.00 μB/f.u. The offset from the most stable computed form comes out at 0.000 eV per atom. For the electronic total energy, the calculation gives -7.187 eV per atom. Its space group is Pm-3m. The density comes out at 10.3 g cm⁻³.